1.
Compound: Ac2TbF8
Source: Alexandria
Functional: PBE
Structure: optimized geometry

Output
E above lowest polymorph = 0.009 eV per atom
DOS(E_F) = 2.020 states/eV per cell
E_form (uncorrected) = -3.91 eV/atom
crystal system = monoclinic
size of the total moment = 0.98 μB/f.u.

a = 14.206 Å, b = 4.100 Å, c = 6.353 Å
α = 90.00°, β = 116.53°, γ = 90.00°
Space group C2/m (No. 12)
One atom of each set of equivalent atoms:
Ac1 0.171 0.000 0.165 [4 per cell]
Tb1 0.000 0.500 0.500 [2 per cell]
F1 0.029 0.000 0.335 [4 per cell]
F2 0.076 0.500 0.920 [4 per cell]
F3 0.169 0.500 0.420 [4 per cell]
F4 0.215 0.000 0.826 [4 per cell]

=====

2.
Compound: LiMg2UN4
Source: Alexandria
Functional: PBE
Structure: optimized geometry

Output
DOS(E_F) = 9.712 states/eV per cell
E_form (uncorrected) = -0.94 eV/atom
crystal system = tetragonal
size of the total moment = 0.00 μB/f.u.

a = 4.459 Å, b = 4.459 Å, c = 9.156 Å
α = 90.00°, β = 90.00°, γ = 90.00°
Space group I4/mmm (No. 139)
One atom of each set of equivalent atoms:
Li1 0.000 0.000 0.000 [2 per cell]
Mg1 0.000 0.500 0.250 [4 per cell]
U1 0.000 0.000 0.500 [2 per cell]
N1 0.000 0.000 0.277 [4 per cell]
N2 0.000 0.500 0.000 [4 per cell]

=====

3.
Compound: TaZnCl3
Source: Alexandria
Functional: PBE
Structure: optimized geometry

Output
E above lowest polymorph = 0.825 eV per atom
DOS(E_F) = 5.382 states/eV per cell
E_form (uncorrected) = 0.42 eV/atom
crystal system = cubic
size of the total moment = 3.84 μB/f.u.

a = 4.834 Å, b = 4.834 Å, c = 4.834 Å
α = 90.00°, β = 90.00°, γ = 90.00°
Space group Pm-3m (No. 221)
One atom of each set of equivalent atoms:
Ta1 0.000 0.000 0.000 [1 per cell]
Zn1 0.500 0.500 0.500 [1 per cell]
Cl1 0.000 0.500 0.500 [3 per cell]

=====

4.
Compound: YReB3
Source: Alexandria
Functional: PBE
Structure: optimized geometry

Output
E above lowest polymorph = 0.439 eV per atom
DOS(E_F) = 1.243 states/eV per cell
crystal system = cubic
size of the total moment = 0.00 μB/f.u.

a = 4.124 Å, b = 4.124 Å, c = 4.124 Å
α = 90.00°, β = 90.00°, γ = 90.00°
Space group Pm-3m (No. 221)
One atom of each set of equivalent atoms:
Y1 0.000 0.000 0.000 [1 per cell]
Re1 0.500 0.500 0.500 [1 per cell]
B1 0.000 0.500 0.500 [3 per cell]

=====

5.
Compound: SbAu
Source: Alexandria
Functional: PBE
Structure: optimized geometry

Output
DOS(E_F) = 2.276 states/eV per cell
E_form (uncorrected) = 0.12 eV/atom
crystal system = trigonal
size of the total moment = 0.00 μB/f.u.

a = 3.2808 Å, b = 3.2808 Å, c = 10.0291 Å
α = 90.00°, β = 90.00°, γ = 120.00°
Space group P-3m1 (No. 164)
One atom of each set of equivalent atoms:
Sb1 0.3333 0.6667 0.1704 [2 per cell]
Au1 0.3333 0.6667 0.6085 [2 per cell]

=====

6.
Compound: Sm7Er3
Source: Alexandria
Functional: PBE
Structure: optimized geometry

Output
E above lowest polymorph = 0.166 eV per atom
DOS(E_F) = 34.331 states/eV per cell
crystal system = hexagonal
size of the total moment = 0.00 μB/f.u.

a = 11.1877 Å, b = 11.1877 Å, c = 6.1209 Å
α = 90.00°, β = 90.00°, γ = 120.00°
Space group P6_3mc (No. 186)
One atom of each set of equivalent atoms:
Sm1 0.0546 0.5273 0.0000 [6 per cell]
Sm2 0.1169 0.2339 0.1215 [6 per cell]
Sm3 0.3333 0.6667 0.1971 [2 per cell]
Er1 0.2204 0.4408 0.6120 [6 per cell]

=====

7.
Compound: SrEuZr2O6
Source: Alexandria
Functional: PBE
Structure: optimized geometry

Output
DOS(E_F) = 23.813 states/eV per cell
E_form (uncorrected) = -3.20 eV/atom
crystal system = orthorhombic
size of the total moment = 6.98 μB/f.u.

a = 8.223 Å, b = 8.246 Å, c = 4.230 Å
α = 90.00°, β = 90.00°, γ = 90.00°
Space group Cmmm (No. 65)
One atom of each set of equivalent atoms:
Sr1 0.000 0.000 0.000 [2 per cell]
Eu1 0.000 0.500 0.000 [2 per cell]
Zr1 0.250 0.250 0.500 [4 per cell]
O1 0.000 0.189 0.500 [4 per cell]
O2 0.188 0.500 0.500 [4 per cell]
O3 0.250 0.250 0.000 [4 per cell]

=====

8.
Compound: NaSiOs2Pt
Source: Alexandria
Functional: PBE
Structure: optimized geometry

Output
DOS(E_F) = 6.014 states/eV per cell
E_form (uncorrected) = 2.62 eV/atom
crystal system = tetragonal
size of the total moment = 0.87 μB/f.u.

a = 4.476 Å, b = 4.476 Å, c = 4.292 Å
α = 90.00°, β = 90.00°, γ = 90.00°
Space group P4/mmm (No. 123)
One atom of each set of equivalent atoms:
Na1 0.000 0.000 0.000 [1 per cell]
Si1 0.000 0.000 0.500 [1 per cell]
Os1 0.000 0.500 0.000 [2 per cell]
Pt1 0.500 0.500 0.500 [1 per cell]

=====

9.
Compound: GaTcI2O
Source: Alexandria
Functional: PBE
Structure: optimized geometry

Output
E above lowest polymorph = 0.587 eV per atom
DOS(E_F) = 1.506 states/eV per cell
E_form (uncorrected) = 0.27 eV/atom
crystal system = tetragonal
size of the total moment = 4.30 μB/f.u.

a = 5.806 Å, b = 5.806 Å, c = 3.622 Å
α = 90.00°, β = 90.00°, γ = 90.00°
Space group P4/mmm (No. 123)
One atom of each set of equivalent atoms:
Ga1 0.000 0.000 0.000 [1 per cell]
Tc1 0.500 0.500 0.500 [1 per cell]
I1 0.000 0.500 0.000 [2 per cell]
O1 0.000 0.000 0.500 [1 per cell]

=====

10.
Compound: Rb8BiTe2
Source: Alexandria
Functional: PBE
Structure: optimized geometry

Output
DOS(E_F) = 5.376 states/eV per cell
E_form (uncorrected) = -0.60 eV/atom
crystal system = monoclinic
size of the total moment = 0.00 μB/f.u.

a = 22.740 Å, b = 6.183 Å, c = 8.964 Å
α = 90.00°, β = 113.17°, γ = 90.00°
Space group Cm (No. 8)
One atom of each set of equivalent atoms:
Rb1 0.000 0.000 0.000 [2 per cell]
Rb2 0.000 0.500 0.313 [2 per cell]
Rb3 0.096 0.000 0.695 [2 per cell]
Rb4 0.154 0.500 0.113 [2 per cell]
Rb5 0.209 0.500 0.635 [2 per cell]
Rb6 0.291 0.000 0.218 [2 per cell]
Rb7 0.347 0.000 0.806 [2 per cell]
Rb8 0.404 0.500 0.502 [2 per cell]
Bi1 0.000 0.500 0.727 [2 per cell]
Te1 0.158 0.000 0.372 [2 per cell]
Te2 0.341 0.500 0.055 [2 per cell]

=====

11.
Compound: YHo12Sc6
Source: Alexandria
Functional: PBE
Structure: optimized geometry

Output
E above lowest polymorph = 0.191 eV per atom
DOS(E_F) = 80.330 states/eV per cell
crystal system = trigonal
size of the total moment = 0.00 μB/f.u.

a = 14.5313 Å, b = 14.5313 Å, c = 9.8220 Å
α = 90.00°, β = 90.00°, γ = 120.00°
Space group R-3m (No. 166, hexagonal axes)
One atom of each set of equivalent atoms:
Y1 0.0000 0.0000 0.0000 [3 per cell]
Ho1 0.0000 0.3878 0.5000 [18 per cell]
Ho2 0.0748 0.1497 0.2975 [18 per cell]
Sc1 0.0574 0.5287 0.2177 [18 per cell]

=====

12.
Compound: CaMnHg
Source: Alexandria
Functional: PBE
Structure: optimized geometry

Output
DOS(E_F) = 6.034 states/eV per cell
E = -3.728 eV/atom
crystal system = tetragonal
size of the total moment = 4.23 μB/f.u.

a = 3.642 Å, b = 3.642 Å, c = 10.837 Å
α = 90.00°, β = 90.00°, γ = 90.00°
Space group I4mm (No. 107)
One atom of each set of equivalent atoms:
Ca1 0.000 0.000 0.000 [2 per cell]
Mn1 0.000 0.000 0.300 [2 per cell]
Hg1 0.000 0.000 0.688 [2 per cell]

=====

13.
Compound: TmTh2P3
Source: Alexandria
Functional: PBE
Structure: optimized geometry

Output
DOS(E_F) = 11.982 states/eV per cell
E = -7.478 eV/atom
crystal system = monoclinic
size of the total moment = 0.00 μB/f.u.

a = 7.079 Å, b = 12.247 Å, c = 7.061 Å
α = 90.00°, β = 109.48°, γ = 90.00°
Space group C2/m (No. 12)
One atom of each set of equivalent atoms:
Tm1 0.000 0.167 0.000 [4 per cell]
Th1 0.000 0.000 0.500 [2 per cell]
Th2 0.000 0.334 0.500 [4 per cell]
Th3 0.000 0.500 0.000 [2 per cell]
P1 0.240 0.000 0.241 [4 per cell]
P2 0.249 0.170 0.757 [8 per cell]

=====

14.
Compound: SmHgAu
Source: Alexandria
Functional: PBE
Structure: optimized geometry

Output
DOS(E_F) = 2.222 states/eV per cell
E = -3.362 eV/atom
crystal system = hexagonal
size of the total moment = 0.00 μB/f.u.

a = 4.8764 Å, b = 4.8764 Å, c = 3.4694 Å
α = 90.00°, β = 90.00°, γ = 120.00°
Space group P-6m2 (No. 187)
One atom of each set of equivalent atoms:
Sm1 0.0000 0.0000 0.0000 [1 per cell]
Hg1 0.3333 0.6667 0.5000 [1 per cell]
Au1 0.6667 0.3333 0.5000 [1 per cell]

=====

15.
Compound: BaCdOs
Source: Alexandria
Functional: PBE
Structure: optimized geometry

Output
DOS(E_F) = 5.462 states/eV per cell
E = -3.827 eV/atom
crystal system = cubic
size of the total moment = 0.00 μB/f.u.

a = 6.956 Å, b = 6.956 Å, c = 6.956 Å
α = 90.00°, β = 90.00°, γ = 90.00°
Space group F-43m (No. 216)
One atom of each set of equivalent atoms:
Ba1 0.000 0.000 0.000 [4 per cell]
Cd1 0.000 0.000 0.500 [4 per cell]
Os1 0.250 0.250 0.750 [4 per cell]

=====

16.
Compound: ZrZnCr2
Source: Alexandria
Functional: PBE
Structure: optimized geometry

Output
DOS(E_F) = 8.434 states/eV per cell
E = -7.079 eV/atom
crystal system = orthorhombic
size of the total moment = 0.45 μB/f.u.

a = 3.220 Å, b = 4.424 Å, c = 8.614 Å
α = 90.00°, β = 90.00°, γ = 90.00°
Space group Imm2 (No. 44)
One atom of each set of equivalent atoms:
Zr1 0.000 0.000 0.000 [2 per cell]
Zn1 0.000 0.500 0.223 [2 per cell]
Cr1 0.000 0.000 0.461 [2 per cell]
Cr2 0.000 0.500 0.769 [2 per cell]

=====

17.
Compound: LaHgH
Source: Alexandria
Functional: PBE
Structure: optimized geometry

Output
E above lowest polymorph = 0.000 eV per atom
DOS(E_F) = 2.517 states/eV per cell
crystal system = tetragonal
size of the total moment = 0.00 μB/f.u.

a = 4.096 Å, b = 4.096 Å, c = 7.526 Å
α = 90.00°, β = 90.00°, γ = 90.00°
Space group P4/nmm (No. 129, origin choice 2)
One atom of each set of equivalent atoms:
La1 0.250 0.250 0.174 [2 per cell]
Hg1 0.250 0.250 0.611 [2 per cell]
H1 0.250 0.750 0.000 [2 per cell]

=====

18.
Compound: Mg5Si6
Source: Alexandria
Functional: PBE
Structure: optimized geometry

Output
E above lowest polymorph = 0.023 eV per atom
DOS(E_F) = 6.954 states/eV per cell
E_form (uncorrected) = 0.05 eV/atom
crystal system = triclinic
size of the total moment = 0.00 μB/f.u.

a = 4.334 Å, b = 7.159 Å, c = 13.744 Å
α = 101.75°, β = 95.94°, γ = 96.97°
Space group P-1 (No. 2)
One atom of each set of equivalent atoms:
Mg1 0.083 0.268 0.165 [2 per cell]
Mg2 0.138 0.692 0.103 [2 per cell]
Mg3 0.209 0.937 0.332 [2 per cell]
Mg4 0.210 0.460 0.406 [2 per cell]
Mg5 0.337 0.405 0.740 [2 per cell]
Si1 0.240 0.847 0.541 [2 per cell]
Si2 0.298 0.088 0.983 [2 per cell]
Si3 0.300 0.206 0.547 [2 per cell]
Si4 0.303 0.071 0.807 [2 per cell]
Si5 0.358 0.765 0.702 [2 per cell]
Si6 0.432 0.588 0.938 [2 per cell]

=====

19.
Compound: TmNiAu
Source: Alexandria
Functional: PBE
Structure: optimized geometry

Output
DOS(E_F) = 6.085 states/eV per cell
E = -5.098 eV/atom
crystal system = monoclinic
size of the total moment = 0.00 μB/f.u.

a = 7.573 Å, b = 4.371 Å, c = 7.482 Å
α = 90.00°, β = 109.86°, γ = 90.00°
Space group C2/m (No. 12)
One atom of each set of equivalent atoms:
Tm1 0.242 0.000 0.225 [4 per cell]
Ni1 0.132 0.500 0.394 [4 per cell]
Au1 0.000 0.000 0.500 [2 per cell]
Au2 0.000 0.500 0.000 [2 per cell]

=====

20.
Compound: CsTl2O2
Source: Alexandria
Functional: PBE
Structure: optimized geometry

Output
DOS(E_F) = 10.200 states/eV per cell
E_form (uncorrected) = -0.56 eV/atom
crystal system = monoclinic
size of the total moment = 0.00 μB/f.u.

a = 9.222 Å, b = 9.746 Å, c = 6.985 Å
α = 90.00°, β = 122.93°, γ = 90.00°
Space group C2/c (No. 15)
One atom of each set of equivalent atoms:
Cs1 0.000 0.121 0.250 [4 per cell]
Tl1 0.000 0.500 0.000 [4 per cell]
Tl2 0.250 0.250 0.000 [4 per cell]
O1 0.200 0.468 0.335 [8 per cell]